An optimized crystal structure of RbZn2C, computed with PBE.

Results
Distance to the lowest polymorph of the same formula (eV/atom): 1.111
DFT total energy (eV/cell): -6.2
DFT formation energy (eV per atom): 1.646

Lattice parameters (Å, degrees): 4.8856 4.8856 4.8856 60.00 60.00 60.00
Fractional positions:
Rb  0.0000  0.0000  0.0000
Zn  0.2500  0.2500  0.2500
Zn  0.7500  0.7500  0.7500
C  0.5000  0.5000  0.5000